# GaSbAu (PBE, relaxed)
# Crystal system: cubic
# Calculated density in g/cm³: 8.64
# Total DFT energy (no corrections) in eV per atom: -3.38
data_GaSbAu
_space_group_name_H-M_alt 'F -4 3 m'
_space_group_IT_number 216
_space_group_name_Hall 'F -4 2 3'
_cell_length_a 6.685
_cell_length_b 6.685
_cell_length_c 6.685
_cell_angle_alpha 90.00
_cell_angle_beta 90.00
_cell_angle_gamma 90.00
loop_
_atom_site_label
_atom_site_fract_x
_atom_site_fract_y
_atom_site_fract_z
_atom_site_occupancy
Ga1 0.000 0.000 0.000 1
Sb1 0.250 0.250 0.250 1
Au1 0.000 0.000 0.500 1

---

# IrPtAu2 (PBE, relaxed)
# Crystal system: cubic
# Calculated density in g/cm³: 19.72
# Energy of formation in eV/atom: 0.3800
data_IrPtAu2
_space_group_name_H-M_alt 'F -4 3 m'
_space_group_IT_number 216
_space_group_name_Hall 'F -4 2 3'
_cell_length_a 6.408
_cell_length_b 6.408
_cell_length_c 6.408
_cell_angle_alpha 90.00
_cell_angle_beta 90.00
_cell_angle_gamma 90.00
loop_
_atom_site_label
_atom_site_fract_x
_atom_site_fract_y
_atom_site_fract_z
_atom_site_occupancy
Ir1 0.000 0.000 0.000 1
Pt1 0.250 0.250 0.750 1
Au1 0.000 0.000 0.500 1
Au2 0.250 0.250 0.250 1

---

# NaSiTe3Au (PBE, relaxed)
# Crystal system: orthorhombic
# Calculated density in g/cm³: 6.50
# Total DFT energy (no corrections) in eV per atom: -3.42
data_NaSiTe3Au
_space_group_name_H-M_alt 'C m c m'
_space_group_IT_number 63
_space_group_name_Hall '-C 2c 2'
_cell_length_a 3.709
_cell_length_b 15.387
_cell_length_c 11.295
_cell_angle_alpha 90.00
_cell_angle_beta 90.00
_cell_angle_gamma 90.00
loop_
_atom_site_label
_atom_site_fract_x
_atom_site_fract_y
_atom_site_fract_z
_atom_site_occupancy
Na1 0.000 0.220 0.250 1
Si1 0.000 0.500 0.000 1
Te1 0.000 0.131 0.517 1
Te2 0.000 0.459 0.750 1
Au1 0.000 0.126 0.750 1

---

# KScAuSe3 (PBE, relaxed)
# Crystal system: orthorhombic
# Calculated density in g/cm³: 5.36
# Total DFT energy (no corrections) in eV per atom: -4.55
data_KScAuSe3
_space_group_name_H-M_alt 'P n m a'
_space_group_IT_number 62
_cell_length_a 15.046
_cell_length_b 3.974
_cell_length_c 10.742
_cell_angle_alpha 90.00
_cell_angle_beta 90.00
_cell_angle_gamma 90.00
loop_
_space_group_symop_operation_xyz
'x,y,z'
'-x,-y,-z'
'-x+1/2,-y,z+1/2'
'x+1/2,y,-z+1/2'
'x+1/2,-y+1/2,-z+1/2'
'-x+1/2,y+1/2,z+1/2'
'-x,y+1/2,-z'
'x,-y+1/2,z'
loop_
_atom_site_label
_atom_site_fract_x
_atom_site_fract_y
_atom_site_fract_z
_atom_site_occupancy
K1 0.231 0.250 0.056 1
Sc1 0.014 0.250 0.345 1
Au1 0.005 0.250 0.905 1
Se1 0.096 0.250 0.568 1
Se2 0.106 0.750 0.852 1
Se3 0.124 0.750 0.263 1

---

Repeat the first record exactly.
# GaSbAu (PBE, relaxed)
# Crystal system: cubic
# Calculated density in g/cm³: 8.64
# Total DFT energy (no corrections) in eV per atom: -3.38
data_GaSbAu
_space_group_name_H-M_alt 'F -4 3 m'
_space_group_IT_number 216
_space_group_name_Hall 'F -4 2 3'
_cell_length_a 6.685
_cell_length_b 6.685
_cell_length_c 6.685
_cell_angle_alpha 90.00
_cell_angle_beta 90.00
_cell_angle_gamma 90.00
loop_
_atom_site_label
_atom_site_fract_x
_atom_site_fract_y
_atom_site_fract_z
_atom_site_occupancy
Ga1 0.000 0.000 0.000 1
Sb1 0.250 0.250 0.250 1
Au1 0.000 0.000 0.500 1

---

Which of these has the highest calculated density?
IrPtAu2